1.
This record from the Alexandria database describes NaZnIn after structural relaxation. The functional is GGA-PBE.

Calculated values
**D(E_F)**: 0.280 states/eV per atom
**Formation energy**: 0.01 eV per atom
**Calculated total energy**: -1.77 eV per atom
**Size of the total moment**: 0.0 μB per formula unit

a = 3.733 Å, b = 3.733 Å, c = 5.834 Å
α = 108.66°, β = 108.66°, γ = 90.00°
Atoms (fractional coordinates):
Na 0.997 0.997 0.994
Zn 0.311 0.311 0.622
In 0.692 0.692 0.385

2.
This record from the Alexandria database describes Na2Zn2In3 after structural relaxation. The functional is GGA-PBE.

Calculated values
**D(E_F)**: 0.383 states/eV per atom
**Formation energy**: -0.04 eV per atom
**Calculated total energy**: -1.96 eV per atom
**Size of the total moment**: 0.0 μB per formula unit

a = 4.510 Å, b = 6.096 Å, c = 7.716 Å
α = 116.23°, β = 90.00°, γ = 111.71°
Atoms (fractional coordinates):
Na 0.847 0.694 0.205
Na 0.153 0.306 0.795
Zn 0.868 0.735 0.790
Zn 0.132 0.265 0.210
In 0.500 0.000 0.000
In 0.620 0.239 0.454
In 0.380 0.761 0.546